1.
Computed, not measured: a geometry-optimized ZnFe structure at the PBEsol level of DFT.

Cell lengths 2.9663, 4.0330, 8.1110 Å; angles 90.00, 90.00, 90.00 degrees
Last column: nearest neighbours and their distance in Å.
Space group Cmme (No. 67)
Unique sites:
Zn 0.0000 0.2500 0.1379 x4  2 Fe 2.50, 6 Zn 2.50-2.68
Fe 0.0000 0.2500 0.6146 x4  6 Fe 2.38-2.50, 2 Zn 2.50

Results
Formation energy from the elements (meV per atom): 39
Magnetic moment (μB per formula unit): 2.20
Crystal system: orthorhombic
Total energy (eV/atom): -5.23

=====

2.
Computed, not measured: a geometry-optimized Zn2Fe structure at the PBEsol level of DFT.

Cell lengths 9.6448, 2.5613, 6.2519 Å; angles 90.00, 104.75, 90.00 degrees
Last column: nearest neighbours and their distance in Å.
Space group Cm (No. 8)
Unique sites:
Zn 0.0000 0.0000 0.0000 x2  8 Zn 2.56-2.65, 4 Fe 2.63-2.67
Zn 0.0549 0.0000 0.6094 x2  5 Fe 2.56-2.64, 7 Zn 2.56-2.65
Zn 0.2257 0.5000 0.9472 x2  9 Zn 2.56-2.65, 3 Fe 2.58-2.62
Zn 0.3889 0.0000 0.2892 x2  4 Fe 2.55-2.63, 8 Zn 2.56-2.65
Fe 0.1681 0.5000 0.3353 x2  4 Fe 2.56, 8 Zn 2.56-2.63
Fe 0.3269 0.0000 0.6615 x2  8 Zn 2.55-2.67, 4 Fe 2.56

Results
Formation energy from the elements (meV per atom): 28
Magnetic moment (μB per formula unit): 2.03
Crystal system: monoclinic
Total energy (eV/atom): -4.01